PuNi2Os: relaxed, PBE-GGA.

Cell and atoms, written as extended XYZ:
```
4
Lattice="3.859 0.000 0.000 0.000 3.859 0.000 0.000 0.000 3.989" Properties=species:S:1:pos:R:3 pbc="T T T"
Pu 0.000 0.000 0.000
Ni 0.000 1.930 1.995
Ni 1.930 0.000 1.995
Os 1.930 1.930 0.000
```

Calculated values
Energy relative to the elements, eV per atom: 0.007
SG: P4/mmm